VASP calculation (PBE with a Hubbard U) on a relaxed structure of VSn2O.

```
8
Lattice="6.7631 0.0000 0.0000 0.0000 6.7631 0.0000 3.3816 3.3816 3.4697" Properties=species:S:1:pos:R:3 pbc="T T T"
Sn 2.1370 5.0723 0.8674
Sn 8.4539 8.0076 2.6022
V 0.0000 0.0000 0.0000
Sn 4.6261 1.6908 0.8674
O 3.3816 3.3816 0.0000
V 6.7631 3.3816 1.7348
Sn 5.0723 5.5186 2.6022
O 3.3816 6.7631 1.7348
```

Values from the calculation:
Calculated total energy in eV per atom: -5.007
Fermi-level density of states in states/eV per cell: 2.8